{"formula": "SrYMn2Pd", "functional": "PBEsol", "state": "relaxed", "lattice": [[4.647, 0.000, 0.000], [0.000, 4.647, 0.000], [0.000, 0.000, 5.328]], "species": ["Sr", "Y", "Mn", "Mn", "Pd"], "frac_coords": [[0.000, 0.000, 0.000], [0.000, 0.000, 0.500], [0.000, 0.500, 0.000], [0.500, 0.000, 0.000], [0.500, 0.500, 0.500]], "delta_e_f_mev_per_atom": 1871, "e_tot_ev_per_cell": -24.79}

{"formula": "MnTePd3", "functional": "PBEsol", "state": "relaxed", "lattice": [[4.601, 0.000, 0.000], [0.000, 4.601, 0.000], [0.000, 0.000, 4.601]], "species": ["Mn", "Te", "Pd", "Pd", "Pd"], "frac_coords": [[0.000, 0.000, 0.000], [0.500, 0.500, 0.500], [0.000, 0.000, 0.500], [0.000, 0.500, 0.000], [0.500, 0.000, 0.000]], "formation_energy_uncorrected_ev_per_atom": 0.640, "e_tot_ev_per_cell": -27.96}